Entry 1:
Here is a geometry-optimized AlSnB3 structure from the Alexandria database. Energies are from GGA-PBE.

SG: No. 221
Energy relative to the elements in eV per formula unit: 8.1
M_tot in μB per cell: 0.000
D(E_F) in states/eV per cell: 1.4
Excess energy over the best structure of this formula in the dataset in meV/atom: 0.0

Cell: 4.2437 4.2437 4.2437 Å, 90.00 90.00 90.00°
Atoms (fractional coordinates):
Al (0.0000, 0.0000, 0.0000)
Sn (0.5000, 0.5000, 0.5000)
B (0.0000, 0.0000, 0.5000)
B (0.0000, 0.5000, 0.0000)
B (0.5000, 0.0000, 0.0000)

---

Entry 2:
Here is a geometry-optimized AlSnB3 structure from the Alexandria database. Energies are from GGA-PBE.

SG: No. 221
Energy relative to the elements in eV per formula unit: 10.8
M_tot in μB per cell: 0.000
D(E_F) in states/eV per cell: 2.9
Excess energy over the best structure of this formula in the dataset in meV/atom: 557.8

Cell: 4.5180 4.5180 4.5180 Å, 90.00 90.00 90.00°
Atoms (fractional coordinates):
Al (0.0000, 0.0000, 0.0000)
Sn (0.5000, 0.5000, 0.5000)
B (0.0000, 0.5000, 0.5000)
B (0.5000, 0.0000, 0.5000)
B (0.5000, 0.5000, 0.0000)

---

Entry 3:
Here is a geometry-optimized AlSn2B structure from the Alexandria database. Energies are from GGA-PBE.

SG: No. 225
Energy relative to the elements in eV per formula unit: 3.5
M_tot in μB per cell: 0.000
D(E_F) in states/eV per cell: 1.8
Excess energy over the best structure of this formula in the dataset in meV/atom: 372.6

Cell: 4.8320 4.8320 4.8320 Å, 60.00 60.00 60.00°
Atoms (fractional coordinates):
Al (0.0000, 0.0000, 0.0000)
Sn (0.2500, 0.2500, 0.2500)
Sn (0.7500, 0.7500, 0.7500)
B (0.5000, 0.5000, 0.5000)

---

Entry 4:
Here is a geometry-optimized SrAlSnB2 structure from the Alexandria database. Energies are from GGA-PBE.

SG: No. 123
Energy relative to the elements in eV per formula unit: 10.6
M_tot in μB per cell: 0.000
D(E_F) in states/eV per cell: 3.8

Cell: 4.9545 4.9545 5.7602 Å, 90.00 90.00 90.00°
Atoms (fractional coordinates):
Sr (0.0000, 0.0000, 0.0000)
Al (0.0000, 0.0000, 0.5000)
Sn (0.5000, 0.5000, 0.5000)
B (0.0000, 0.5000, 0.0000)
B (0.5000, 0.0000, 0.0000)

---

Entry 5:
Here is a geometry-optimized Ta2AlSnB structure from the Alexandria database. Energies are from GGA-PBE.

SG: No. 123
Energy relative to the elements in eV per formula unit: 13.1
M_tot in μB per cell: 0.000
D(E_F) in states/eV per cell: 5.1

Cell: 5.1046 5.1046 4.7175 Å, 90.00 90.00 90.00°
Atoms (fractional coordinates):
Ta (0.0000, 0.5000, 0.0000)
Ta (0.5000, 0.0000, 0.0000)
Al (0.0000, 0.0000, 0.5000)
Sn (0.0000, 0.0000, 0.0000)
B (0.5000, 0.5000, 0.5000)

---

Entry 6:
Here is a geometry-optimized AlTcSnB2 structure from the Alexandria database. Energies are from GGA-PBE.

SG: No. 123
Energy relative to the elements in eV per formula unit: 4.4
M_tot in μB per cell: 0.000
D(E_F) in states/eV per cell: 2.3

Cell: 4.1249 4.1249 5.3308 Å, 90.00 90.00 90.00°
Atoms (fractional coordinates):
Al (0.0000, 0.0000, 0.0000)
Tc (0.5000, 0.5000, 0.5000)
Sn (0.5000, 0.5000, 0.0000)
B (0.0000, 0.5000, 0.5000)
B (0.5000, 0.0000, 0.5000)

---

Entry 7:
Here is a geometry-optimized ZrAlSn2B structure from the Alexandria database. Energies are from GGA-PBE.

SG: No. 123
Energy relative to the elements in eV per formula unit: 3.8
M_tot in μB per cell: 0.000
D(E_F) in states/eV per cell: 3.8

Cell: 5.4495 5.4495 3.8250 Å, 90.00 90.00 90.00°
Atoms (fractional coordinates):
Zr (0.0000, 0.0000, 0.0000)
Al (0.5000, 0.5000, 0.5000)
Sn (0.0000, 0.5000, 0.5000)
Sn (0.5000, 0.0000, 0.5000)
B (0.5000, 0.5000, 0.0000)

---

Entry 8:
Here is a geometry-optimized SrAl3B structure from the Alexandria database. Energies are from GGA-PBE.

SG: No. 221
Energy relative to the elements in eV per formula unit: 11.3
M_tot in μB per cell: 0.000
D(E_F) in states/eV per cell: 5.2
Excess energy over the best structure of this formula in the dataset in meV/atom: 1926.6

Cell: 5.9237 5.9237 5.9237 Å, 90.00 90.00 90.00°
Atoms (fractional coordinates):
Sr (0.0000, 0.0000, 0.0000)
Al (0.0000, 0.0000, 0.5000)
Al (0.0000, 0.5000, 0.0000)
Al (0.5000, 0.0000, 0.0000)
B (0.5000, 0.5000, 0.5000)

---

Entry 9:
Here is a geometry-optimized SrAlB2 structure from the Alexandria database. Energies are from GGA-PBE.

SG: No. 141
Energy relative to the elements in eV per formula unit: 1.7
M_tot in μB per cell: 0.000
D(E_F) in states/eV per cell: 4.5

Cell: 7.8087 7.8087 7.8087 Å, 146.85 146.85 47.59°
Atoms (fractional coordinates):
Sr (0.3750, 0.6250, 0.7500)
Sr (0.6250, 0.3750, 0.2500)
Al (0.1250, 0.8750, 0.2500)
Al (0.8750, 0.1250, 0.7500)
B (0.0000, 0.0000, 0.0000)
B (0.0000, 0.0000, 0.5000)
B (0.0000, 0.5000, 0.0000)
B (0.5000, 0.0000, 0.5000)

---

Entry 10:
Here is a geometry-optimized SrAl3B structure from the Alexandria database. Energies are from GGA-PBE.

SG: No. 221
Energy relative to the elements in eV per formula unit: 1.7
M_tot in μB per cell: 0.000
D(E_F) in states/eV per cell: 2.4
Excess energy over the best structure of this formula in the dataset in meV/atom: 0.0

Cell: 4.6085 4.6085 4.6085 Å, 90.00 90.00 90.00°
Atoms (fractional coordinates):
Sr (0.0000, 0.0000, 0.0000)
Al (0.0000, 0.5000, 0.5000)
Al (0.5000, 0.0000, 0.5000)
Al (0.5000, 0.5000, 0.0000)
B (0.5000, 0.5000, 0.5000)

---

Entry 11:
Here is a geometry-optimized Sr3AlB structure from the Alexandria database. Energies are from GGA-PBE.

SG: No. 221
Energy relative to the elements in eV per formula unit: 2.0
M_tot in μB per cell: 3.200
D(E_F) in states/eV per cell: 3.3
Excess energy over the best structure of this formula in the dataset in meV/atom: 0.0

Cell: 5.5990 5.5990 5.5990 Å, 90.00 90.00 90.00°
Atoms (fractional coordinates):
Sr (0.0000, 0.0000, 0.5000)
Sr (0.0000, 0.5000, 0.0000)
Sr (0.5000, 0.0000, 0.0000)
Al (0.5000, 0.5000, 0.5000)
B (0.0000, 0.0000, 0.0000)

---

Entry 12:
Here is a geometry-optimized SrAlB12 structure from the Alexandria database. Energies are from GGA-PBE.

SG: No. 123
Energy relative to the elements in eV per formula unit: -0.8
M_tot in μB per cell: 0.000
D(E_F) in states/eV per cell: 2.6

Cell: 4.1804 4.1804 8.3676 Å, 90.00 90.00 90.00°
Atoms (fractional coordinates):
Sr (0.0000, 0.0000, 0.0000)
Al (0.0000, 0.0000, 0.5000)
B (0.2009, 0.5000, 0.2512)
B (0.2009, 0.5000, 0.7488)
B (0.5000, 0.2009, 0.2512)
B (0.5000, 0.2009, 0.7488)
B (0.5000, 0.5000, 0.1006)
B (0.5000, 0.5000, 0.4000)
B (0.5000, 0.5000, 0.6000)
B (0.5000, 0.5000, 0.8994)
B (0.5000, 0.7991, 0.2512)
B (0.5000, 0.7991, 0.7488)
B (0.7991, 0.5000, 0.2512)
B (0.7991, 0.5000, 0.7488)